Material: HIr2Br
Method: DFT, PBE
State: relaxed

abc: 4.9967 4.9967 9.3192
angles: 90.00 90.00 90.00
Closest atoms and distances in Å follow each position.
Space group I-42d (No. 122)
Asymmetric unit:
H: 0.0000 0.0000 0.0000 (multiplicity 4)  4 Ir 1.81
Ir: 0.1191 0.2500 0.1250 (multiplicity 8)  2 H 1.81
Br: 0.0000 0.0000 0.5000 (multiplicity 4)  4 Ir 2.56

Properties
- E above lowest polymorph: 0 meV per atom
- Crystal system: tetragonal

***

Material: HIrBr2
Method: DFT, PBE
State: relaxed

abc: 5.4646 5.4646 10.2899
angles: 90.00 90.00 90.00
Closest atoms and distances in Å follow each position.
Space group I-42d (No. 122)
Asymmetric unit:
H: 0.0000 0.0000 0.0000 (multiplicity 4)  4 Br 2.20
Ir: 0.0000 0.0000 0.5000 (multiplicity 4)  4 Br 2.45
Br: 0.2110 0.2500 0.1250 (multiplicity 8)  2 H 2.20, 2 Ir 2.45

Properties
- E above lowest polymorph: 0 meV per atom
- Crystal system: tetragonal

***

Material: La2HIrBr
Method: DFT, PBE
State: relaxed

abc: 5.5999 5.5999 4.6604
angles: 90.00 90.00 90.00
Closest atoms and distances in Å follow each position.
Space group P4/mmm (No. 123)
Asymmetric unit:
La: 0.0000 0.5000 0.0000 (multiplicity 2)  2 Br 2.80
H: 0.0000 0.0000 0.5000 (multiplicity 1)  8 La 3.64, 4 Ir 3.96
Ir: 0.5000 0.5000 0.5000 (multiplicity 1)  2 Br 2.33
Br: 0.5000 0.5000 0.0000 (multiplicity 1)  2 Ir 2.33

Properties
- Crystal system: tetragonal

***

Material: La6HIr2Br3
Method: DFT, PBE
State: relaxed

abc: 7.1958 12.4284 8.2497
angles: 90.00 106.98 90.00
Closest atoms and distances in Å follow each position.
Space group C2/m (No. 12)
Asymmetric unit:
La: 0.2281 0.0000 0.1976 (multiplicity 4)  2 Ir 2.84, 1 H 2.89
La: 0.2337 0.3315 0.1967 (multiplicity 8)  2 Ir 2.84-2.85, 1 H 2.87
H: 0.0000 0.5000 0.0000 (multiplicity 2)  6 La 2.87-2.89
Ir: 0.0000 0.1665 0.0000 (multiplicity 4)  6 La 2.84-2.85
Br: 0.0000 0.0000 0.5000 (multiplicity 2)  6 La 3.36-3.39
Br: 0.0000 0.3314 0.5000 (multiplicity 4)  6 La 3.35-3.41

Properties
- Crystal system: monoclinic

***

Material: La8HIr3Br3
Method: DFT, PBE
State: relaxed

abc: 14.5199 8.3844 9.0347
angles: 90.00 122.35 90.00
Closest atoms and distances in Å follow each position.
Space group C2/m (No. 12)
Asymmetric unit:
La: 0.0173 0.2449 0.2969 (multiplicity 8)  2 Ir 2.85, 1 H 2.92
La: 0.2341 0.0000 0.7020 (multiplicity 4)  3 Ir 2.87
La: 0.2372 0.5000 0.7026 (multiplicity 4)  2 Ir 2.85, 1 H 2.91
H: 0.0000 0.5000 0.5000 (multiplicity 2)  6 La 2.91-2.92
Ir: 0.0000 0.0000 0.5000 (multiplicity 2)  6 La 2.85-2.87
Ir: 0.2500 0.2500 0.5000 (multiplicity 4)  6 La 2.85-2.87
Br: 0.0000 0.5000 0.0000 (multiplicity 2)  6 La 3.32-3.33
Br: 0.2500 0.2500 0.0000 (multiplicity 4)  6 La 3.32-3.33

Properties
- Crystal system: monoclinic

***

Material: La8HIr3Br4
Method: DFT, PBE
State: relaxed

abc: 8.3324 8.3324 23.6717
angles: 90.00 90.00 120.00
Closest atoms and distances in Å follow each position.
Space group R-3m (No. 166, hexagonal axes)
Asymmetric unit:
La: 0.0000 0.0000 0.2326 (multiplicity 6)  3 Ir 2.87
La: 0.0031 0.5015 0.7679 (multiplicity 18)  2 Ir 2.85, 1 H 2.88
H: 0.0000 0.0000 0.5000 (multiplicity 3)  6 La 2.88
Ir: 0.0000 0.5000 0.5000 (multiplicity 9)  6 La 2.85-2.87
Br: 0.0000 0.0000 0.0000 (multiplicity 3)  6 La 3.38
Br: 0.0000 0.5000 0.0000 (multiplicity 9)  6 La 3.39-3.40

Properties
- Crystal system: trigonal

***

Material: LiH2IrBr
Method: DFT, PBE
State: relaxed

abc: 3.4558 3.4558 6.8969
angles: 90.00 90.00 90.00
Closest atoms and distances in Å follow each position.
Space group P4/mmm (No. 123)
Asymmetric unit:
Li: 0.0000 0.0000 0.0000 (multiplicity 1)  4 Br 2.44
H: 0.0000 0.5000 0.5000 (multiplicity 2)  2 Ir 1.73
Ir: 0.0000 0.0000 0.5000 (multiplicity 1)  4 H 1.73
Br: 0.5000 0.5000 0.0000 (multiplicity 1)  4 Li 2.44

Properties
- Crystal system: tetragonal

***

Material: Na2HIrBr
Method: DFT, PBE
State: relaxed

abc: 5.6899 5.6899 3.2509
angles: 90.00 90.00 90.00
Closest atoms and distances in Å follow each position.
Space group P4/mmm (No. 123)
Asymmetric unit:
Na: 0.0000 0.5000 0.0000 (multiplicity 2)  2 Br 2.84
H: 0.0000 0.0000 0.5000 (multiplicity 1)  2 Br 1.63
Ir: 0.5000 0.5000 0.5000 (multiplicity 1)  2 Ir 3.25, 8 Na 3.28
Br: 0.0000 0.0000 0.0000 (multiplicity 1)  2 H 1.63

Properties
- Crystal system: tetragonal

***

| no. | magnetization (Bohr magnetons per cell) | calculated total energy (eV per atom) |
| --- | --- | --- |
| 1 | 0.000 | -4.92 |
| 2 | 0.000 | -3.12 |
| 3 | 0.000 | -4.32 |
| 4 | 0.004 | -5.72 |
| 5 | 0.000 | -5.93 |
| 6 | 0.000 | -5.87 |
| 7 | 1.000 | -3.73 |
| 8 | 0.663 | -2.78 |